Record 1
{"formula": "B3PbBr", "functional": "PBE", "state": "relaxed", "lattice": [[4.343, 0.000, 0.000], [0.000, 4.343, 0.000], [0.000, 0.000, 4.343]], "species": ["B", "B", "B", "Pb", "Br"], "fractional_positions": [[0.000, 0.000, 0.500], [0.000, 0.500, 0.000], [0.500, 0.000, 0.000], [0.500, 0.500, 0.500], [0.000, 0.000, 0.000]], "e_form_raw_ev_per_atom": 2.331}

***

Record 2
{"formula": "BaSrAcPb", "functional": "PBE", "state": "relaxed", "lattice": [[0.000, 4.383, 4.383], [4.383, 0.000, 4.383], [4.383, 4.383, 0.000]], "species": ["Ba", "Sr", "Ac", "Pb"], "fractional_positions": [[0.000, 0.000, 0.000], [0.750, 0.750, 0.750], [0.500, 0.500, 0.500], [0.250, 0.250, 0.250]], "ef_ev_per_atom": -0.135}

***

Record 3
{"formula": "Ho2HN", "functional": "PBE", "state": "relaxed", "lattice": [[1.717, 0.991, 5.867], [-1.717, 0.991, 5.867], [0.000, -1.983, 5.867]], "species": ["Ho", "Ho", "H", "N"], "fractional_positions": [[0.000, 0.000, 0.000], [0.185, 0.185, 0.185], [0.411, 0.411, 0.411], [0.589, 0.589, 0.589]], "e_tot_ev_per_atom": -6.165}

***

Record 4
{"formula": "MnCrNi2Bi", "functional": "PBE", "state": "relaxed", "lattice": [[4.771, 0.000, 0.000], [0.000, 4.771, 0.000], [0.000, 0.000, 5.053]], "species": ["Mn", "Cr", "Ni", "Ni", "Bi"], "fractional_positions": [[0.000, 0.000, 0.000], [0.500, 0.500, 0.000], [0.000, 0.500, 0.500], [0.500, 0.000, 0.500], [0.000, 0.000, 0.500]], "ef_ev_per_atom": 1.328}

***

Record 5
{"formula": "HoHfPa", "functional": "PBE", "state": "relaxed", "lattice": [[-1.608, 1.608, 7.489], [1.608, -1.608, 7.489], [1.608, 1.608, -7.489]], "species": ["Ho", "Hf", "Pa"], "fractional_positions": [[0.000, 0.000, 0.000], [0.669, 0.669, 0.000], [0.323, 0.323, 0.000]], "ef_ev_per_atom": 0.172}

***

Record 6
{"formula": "TaCrP2", "functional": "PBE", "state": "relaxed", "lattice": [[1.774, 1.024, 5.637], [-1.774, 1.024, 5.637], [0.000, -2.049, 5.637]], "species": ["Ta", "Cr", "P", "P"], "fractional_positions": [[0.000, 0.000, 0.000], [0.500, 0.500, 0.500], [0.244, 0.244, 0.244], [0.756, 0.756, 0.756]], "ef_ev_per_atom": -0.332}

***

Record 7
{"formula": "Pm2Nd5Tm6", "functional": "PBE", "state": "relaxed", "lattice": [[11.687, 0.000, 0.000], [0.000, 20.514, 0.000], [0.000, 0.000, 3.592]], "species": ["Pm", "Pm", "Pm", "Pm", "Nd", "Nd", "Nd", "Nd", "Nd", "Nd", "Nd", "Nd", "Nd", "Nd", "Tm", "Tm", "Tm", "Tm", "Tm", "Tm", "Tm", "Tm", "Tm", "Tm", "Tm", "Tm"], "fractional_positions": [[0.172, 0.216, 0.000], [0.328, 0.716, 0.000], [0.672, 0.284, 0.000], [0.828, 0.784, 0.000], [0.000, 0.500, 0.500], [0.086, 0.777, 0.500], [0.201, 0.051, 0.500], [0.299, 0.551, 0.500], [0.414, 0.277, 0.500], [0.500, 0.000, 0.500], [0.586, 0.723, 0.500], [0.701, 0.449, 0.500], [0.799, 0.949, 0.500], [0.914, 0.223, 0.500], [0.062, 0.922, 0.000], [0.076, 0.634, 0.000], [0.180, 0.369, 0.500], [0.320, 0.869, 0.500], [0.424, 0.134, 0.000], [0.438, 0.422, 0.000], [0.562, 0.578, 0.000], [0.576, 0.866, 0.000], [0.680, 0.131, 0.500], [0.820, 0.631, 0.500], [0.924, 0.366, 0.000], [0.938, 0.078, 0.000]], "ef_ev_per_atom": 0.097}

***

Record 8
{"formula": "Na3Np2ZnTe6", "functional": "PBE", "state": "relaxed", "lattice": [[3.814, -6.611, 0.000], [3.814, 6.611, 0.000], [-2.543, 0.000, 7.452]], "species": ["Na", "Na", "Na", "Np", "Np", "Zn", "Te", "Te", "Te", "Te", "Te", "Te"], "fractional_positions": [[0.000, 0.000, 0.000], [0.330, 0.670, 0.000], [0.670, 0.330, 0.000], [0.166, 0.834, 0.500], [0.834, 0.166, 0.500], [0.500, 0.500, 0.500], [0.103, 0.425, 0.275], [0.253, 0.253, 0.726], [0.425, 0.103, 0.275], [0.575, 0.897, 0.725], [0.747, 0.747, 0.274], [0.897, 0.575, 0.725]], "e_form_raw_ev_per_atom": -0.687}

***

Record 9
{"formula": "ScGa3Ni", "functional": "PBE", "state": "relaxed", "lattice": [[7.979, 0.000, 0.000], [0.000, 3.954, 0.000], [0.000, 0.000, 10.368]], "species": ["Sc", "Sc", "Sc", "Sc", "Ga", "Ga", "Ga", "Ga", "Ga", "Ga", "Ga", "Ga", "Ga", "Ga", "Ga", "Ga", "Ni", "Ni", "Ni", "Ni"], "fractional_positions": [[0.196, 0.250, 0.015], [0.304, 0.750, 0.515], [0.696, 0.250, 0.485], [0.804, 0.750, 0.985], [0.062, 0.250, 0.586], [0.104, 0.750, 0.815], [0.145, 0.750, 0.214], [0.355, 0.250, 0.714], [0.396, 0.250, 0.315], [0.438, 0.750, 0.086], [0.562, 0.250, 0.914], [0.604, 0.750, 0.685], [0.645, 0.750, 0.286], [0.855, 0.250, 0.786], [0.896, 0.250, 0.185], [0.938, 0.750, 0.414], [0.103, 0.250, 0.353], [0.397, 0.750, 0.853], [0.603, 0.250, 0.147], [0.897, 0.750, 0.647]], "ef_ev_per_atom": -0.521}

***

Record 10
{"formula": "Cs2DyMnSe4", "functional": "PBE", "state": "relaxed", "lattice": [[-4.372, 4.407, 6.528], [4.372, -4.407, 6.528], [4.372, 4.407, -6.528]], "species": ["Cs", "Cs", "Cs", "Cs", "Dy", "Dy", "Mn", "Mn", "Se", "Se", "Se", "Se", "Se", "Se", "Se", "Se"], "fractional_positions": [[0.000, 0.000, 0.000], [0.500, 0.000, 0.000], [0.500, 0.000, 0.500], [0.500, 0.500, 0.500], [0.000, 0.000, 0.500], [0.000, 0.500, 0.000], [0.000, 0.500, 0.500], [0.500, 0.500, 0.000], [0.193, 0.734, 0.458], [0.224, 0.266, 0.958], [0.232, 0.301, 0.569], [0.232, 0.663, 0.931], [0.768, 0.337, 0.069], [0.768, 0.699, 0.431], [0.776, 0.734, 0.042], [0.807, 0.266, 0.542]], "e_form_raw_ev_per_atom": -1.039}